No. 1
Compound: Y2NiOs
Source: Alexandria via LeMat-Bulk
Functional: PBE
Structure: optimized geometry

a = 3.319 Å, b = 4.606 Å, c = 10.669 Å
α = 90.00°, β = 90.00°, γ = 90.00°
Space group Imm2 (No. 44)
Asymmetric unit:
Y 0.000 0.000 0.000 x2
Y 0.000 0.500 0.211 x2
Ni 0.000 0.500 0.775 x2
Os 0.000 0.000 0.448 x2

The value obtained for the total magnetization is 0.0 μB per formula unit. Its energy of formation is -0.3 eV per formula unit. For the total DFT energy (no corrections), the calculation gives -7.57 eV/atom.

---

No. 2
Compound: VH2Rh2
Source: Alexandria via LeMat-Bulk
Functional: PBE
Structure: optimized geometry

a = 2.7963 Å, b = 2.7963 Å, c = 6.7409 Å
α = 90.00°, β = 90.00°, γ = 120.00°
Space group P-3m1 (No. 164)
Asymmetric unit:
V 0.0000 0.0000 0.0000 x1
H 0.3333 0.6667 0.8386 x2
Rh 0.3333 0.6667 0.3283 x2

The value obtained for the total magnetization is 0.0 μB per formula unit. The calculation puts the excess energy over the best structure of this formula in the dataset at 0.0 meV per atom. For the total DFT energy (no corrections), the calculation gives -6.27 eV/atom.

---

No. 3
Compound: Be17VFe
Source: Alexandria via LeMat-Bulk
Functional: PBE
Structure: optimized geometry

a = 7.1851 Å, b = 7.1851 Å, c = 10.5636 Å
α = 90.00°, β = 90.00°, γ = 120.00°
Space group R3m (No. 160, hexagonal axes)
Asymmetric unit:
Be 0.0000 0.0000 0.0525 x3
Be 0.0000 0.0000 0.2553 x3
Be 0.0020 0.5010 0.3085 x9
Be 0.0297 0.3590 0.8225 x18
Be 0.1707 0.3414 0.9922 x9
Be 0.1724 0.3447 0.3333 x9
V 0.0000 0.0000 0.4930 x3
Fe 0.0000 0.0000 0.8189 x3

The value obtained for the total magnetization is 1.6 μB per formula unit. Its energy of formation is -1.9 eV per formula unit. For the total DFT energy (no corrections), the calculation gives -4.36 eV/atom.